VFe PBE optimized geometry; ΔE_f = 2.80 eV per formula unit; space-group type = No. 216
1.0
0.000 2.577 2.577
2.577 0.000 2.577
2.577 2.577 0.000
V Fe
1 1
Cartesian
0.000 0.000 0.000
3.866 3.866 3.866

YMnS2 PBE optimized geometry; space-group type = No. 122; ΔE_f (raw) = -0.874 eV per atom
1.0
-2.654 2.654 5.941
2.654 -2.654 5.941
2.654 2.654 -5.941
Y Mn S
2 2 4
Cartesian
0.000 0.000 0.000
0.000 2.654 2.971
2.654 0.000 2.971
0.000 0.000 5.941
1.327 -0.924 4.456
1.730 1.327 1.485
1.327 3.579 -1.485
0.924 1.327 7.427

Sm3Er2Co2 PBE optimized geometry; ΔE_f = -0.86 eV per formula unit; space-group type = No. 12
1.0
5.998 -1.865 0.000
5.998 1.865 0.000
-3.803 0.000 7.983
Sm Er Co
3 2 2
Cartesian
0.000 0.000 0.000
-0.234 0.000 3.400
8.426 0.000 4.584
3.173 0.000 1.525
5.019 0.000 6.458
0.917 0.000 6.053
7.276 0.000 1.931

LiTbIn2 PBE optimized geometry; ΔE_f = -0.70 eV per formula unit; space-group type = No. 166
1.0
1.698 0.980 10.074
-1.698 0.980 10.074
0.000 -1.961 10.074
Li Tb In
1 1 2
Cartesian
0.000 0.000 0.000
0.000 0.000 15.112
0.000 0.000 7.741
0.000 0.000 22.482

Sr5Al2Hg PBE optimized geometry; ΔE_f = -1.80 eV per formula unit; space-group type = No. 140
1.0
-4.222 4.222 8.449
4.222 -4.222 8.449
4.222 4.222 -8.449
Sr Al Hg
10 4 2
Cartesian
0.000 0.000 0.000
5.685 1.463 -2.433
1.463 2.759 -2.433
5.685 1.463 2.433
1.463 2.759 2.433
0.000 0.000 8.449
2.759 1.463 6.016
-1.463 2.759 6.016
2.759 1.463 10.882
-1.463 2.759 10.882
3.302 0.920 0.000
3.302 -0.920 8.449
0.920 5.142 0.000
0.920 3.302 8.449
0.000 0.000 4.225
0.000 0.000 12.674

LiFeIr PBE optimized geometry; ΔE_f = 0.08 eV per formula unit; space-group type = No. 156
1.0
2.678 0.000 0.000
-1.339 2.319 0.000
0.000 0.000 6.610
Li Fe Ir
1 1 1
Cartesian
0.000 0.000 0.000
1.339 0.773 2.300
0.000 1.546 4.371

| no. | mass density (g/cm3) | uncorrected energy (eV for the cell shown) | density of states at the Fermi level (states/eV per cell) |
| --- | --- | --- | --- |
| 1 | 5.2 | -14.78 | 2.10 |
| 2 | 4.1 | -54.77 | 9.48 |
| 3 | 8.4 | -38.35 | 6.10 |
| 4 | 6.5 | -12.72 | 3.16 |
| 5 | 3.8 | -35.99 | 17.77 |
| 6 | 10.3 | -19.16 | 2.62 |